Here is NaCeTi4O12 after structural relaxation from Alexandria via LeMat-Bulk. Energies are from PBE.

Summary:
For the total magnetic moment, the calculation gives 0.168 μB/atom. The calculation puts the total energy at -7.999 eV per atom.

a b c (Å): 7.789 5.404 5.404
angles (deg): 89.30 90.00 90.00
Positions (direct):
Na 0.000 0.000 0.000
Ce 0.500 0.478 0.478
Ti 0.236 0.498 0.986
Ti 0.236 0.986 0.498
Ti 0.764 0.498 0.986
Ti 0.764 0.986 0.498
O 0.000 0.019 0.440
O 0.000 0.440 0.019
O 0.213 0.779 0.779
O 0.278 0.277 0.711
O 0.278 0.711 0.277
O 0.305 0.241 0.241
O 0.500 0.535 0.929
O 0.500 0.929 0.535
O 0.695 0.241 0.241
O 0.722 0.277 0.711
O 0.722 0.711 0.277
O 0.787 0.779 0.779



Here is DyFe2SiGe after structural relaxation from Alexandria via LeMat-Bulk. Energies are from PBE.

Summary:
For the total magnetic moment, the calculation gives 0.056 μB/atom. The calculation puts the total energy at -6.885 eV per atom.

a b c (Å): 5.611 5.611 5.638
angles (deg): 90.00 90.00 119.62
Positions (direct):
Dy 0.249 0.751 0.750
Dy 0.751 0.249 0.250
Fe 0.248 0.248 0.000
Fe 0.248 0.248 0.500
Fe 0.752 0.752 0.000
Fe 0.752 0.752 0.500
Si 0.110 0.890 0.250
Si 0.890 0.110 0.750
Ge 0.375 0.625 0.250
Ge 0.625 0.375 0.750



Here is Na2ReAsO6 after structural relaxation from Alexandria via LeMat-Bulk. Energies are from PBE.

Summary:
For the total magnetic moment, the calculation gives 0.000 μB/atom. The calculation puts the total energy at -6.449 eV per atom.

a b c (Å): 5.568 5.568 4.842
angles (deg): 90.00 90.00 90.00
Positions (direct):
Na 0.000 0.500 0.000
Na 0.500 0.000 0.000
Re 0.000 0.000 0.593
As 0.500 0.500 0.591
O 0.000 0.000 0.229
O 0.227 0.227 0.699
O 0.227 0.773 0.699
O 0.500 0.500 0.241
O 0.773 0.227 0.699
O 0.773 0.773 0.699



Here is BaMg6AgHg after structural relaxation from Alexandria via LeMat-Bulk. Energies are from PBE.

Summary:
For the total magnetic moment, the calculation gives 0.000 μB/atom. The calculation puts the total energy at -1.649 eV per atom. The formation energy comes out at -0.0217 eV per atom.

a b c (Å): 9.057 9.057 9.057
angles (deg): 128.46 114.25 88.13
Positions (direct):
Ba 0.442 0.192 0.250
Ba 0.558 0.808 0.750
Mg 0.100 0.423 0.284
Mg 0.100 0.816 0.676
Mg 0.156 0.906 0.250
Mg 0.268 0.518 0.750
Mg 0.360 0.184 0.784
Mg 0.360 0.577 0.176
Mg 0.640 0.423 0.824
Mg 0.640 0.816 0.216
Mg 0.732 0.482 0.250
Mg 0.844 0.094 0.750
Mg 0.900 0.184 0.324
Mg 0.900 0.577 0.716
Ag 0.000 0.000 0.000
Ag 0.500 0.000 0.500
Hg 0.000 0.000 0.500
Hg 0.000 0.500 0.000



Here is LiBeSCl2 after structural relaxation from Alexandria via LeMat-Bulk. Energies are from PBE.

Summary:
For the total magnetic moment, the calculation gives 0.186 μB/atom. The calculation puts the total energy at -3.353 eV per atom. As for the energy above the most stable polymorph in this dataset: 0 meV/atom.

a b c (Å): 4.830 4.830 4.145
angles (deg): 90.00 90.00 90.00
Positions (direct):
Li 0.000 0.000 0.000
Be 0.500 0.500 0.500
S 0.500 0.500 0.000
Cl 0.000 0.500 0.500
Cl 0.500 0.000 0.500



Here is LiTmSbPd after structural relaxation from Alexandria via LeMat-Bulk. Energies are from PBE.

Summary:
For the total magnetic moment, the calculation gives 0.000 μB/atom. The calculation puts the total energy at -4.638 eV per atom.

a b c (Å): 6.898 6.898 6.898
angles (deg): 90.00 90.00 90.00
Positions (direct):
Li 0.000 0.000 0.000
Li 0.000 0.500 0.500
Li 0.500 0.000 0.500
Li 0.500 0.500 0.000
Tm 0.000 0.000 0.500
Tm 0.000 0.500 0.000
Tm 0.500 0.000 0.000
Tm 0.500 0.500 0.500
Sb 0.250 0.250 0.750
Sb 0.250 0.750 0.250
Sb 0.750 0.250 0.250
Sb 0.750 0.750 0.750
Pd 0.250 0.250 0.250
Pd 0.250 0.750 0.750
Pd 0.750 0.250 0.750
Pd 0.750 0.750 0.250



Here is SrTaPb2 after structural relaxation from Alexandria via LeMat-Bulk. Energies are from PBE.

Summary:
For the total magnetic moment, the calculation gives 0.000 μB/atom. The calculation puts the total energy at -4.934 eV per atom. The formation energy comes out at 0.3040 eV per atom.

a b c (Å): 10.058 3.344 6.683
angles (deg): 90.00 100.01 90.00
Positions (direct):
Sr 0.000 0.000 0.000
Sr 0.500 0.500 0.000
Ta 0.000 0.500 0.500
Ta 0.500 0.000 0.500
Pb 0.236 0.000 0.704
Pb 0.264 0.500 0.296
Pb 0.736 0.500 0.704
Pb 0.764 0.000 0.296



Here is PaS5Cl after structural relaxation from Alexandria via LeMat-Bulk. Energies are from PBE.

Summary:
For the total magnetic moment, the calculation gives 0.000 μB/atom. The calculation puts the total energy at -5.368 eV per atom.

a b c (Å): 5.205 5.623 6.541
angles (deg): 106.43 101.19 90.68
Positions (direct):
Pa 0.000 0.000 0.000
S 0.277 0.199 0.397
S 0.482 0.163 0.935
S 0.487 0.800 0.929
S 0.883 0.825 0.560
S 0.910 0.132 0.445
Cl 0.006 0.520 0.026



Here is Nd12Sm5Th2 after structural relaxation from Alexandria via LeMat-Bulk. Energies are from PBE.

Summary:
For the total magnetic moment, the calculation gives 0.000 μB/atom. The calculation puts the total energy at -4.914 eV per atom. The formation energy comes out at 0.1204 eV per atom. As for the energy above the most stable polymorph in this dataset: 0 meV/atom.

a b c (Å): 10.893 10.893 6.268
angles (deg): 101.07 101.07 65.84
Positions (direct):
Nd 0.046 0.559 0.800
Nd 0.055 0.055 0.267
Nd 0.146 0.650 0.390
Nd 0.350 0.854 0.610
Nd 0.382 0.382 0.001
Nd 0.441 0.954 0.200
Nd 0.559 0.046 0.800
Nd 0.618 0.618 0.999
Nd 0.650 0.146 0.390
Nd 0.854 0.350 0.610
Nd 0.945 0.945 0.733
Nd 0.954 0.441 0.200
Sm 0.178 0.178 0.853
Sm 0.286 0.286 0.444
Sm 0.500 0.500 0.500
Sm 0.714 0.714 0.556
Sm 0.822 0.822 0.147
Th 0.269 0.731 0.000
Th 0.731 0.269 0.000



Here is Y2GaGe after structural relaxation from Alexandria via LeMat-Bulk. Energies are from PBE.

Summary:
For the total magnetic moment, the calculation gives 0.000 μB/atom. The calculation puts the total energy at -5.964 eV per atom. The formation energy comes out at -0.8214 eV per atom.

a b c (Å): 5.823 4.008 8.454
angles (deg): 90.00 107.86 90.00
Positions (direct):
Y 0.206 0.250 0.428
Y 0.288 0.750 0.068
Y 0.712 0.250 0.932
Y 0.794 0.750 0.572
Ga 0.370 0.750 0.709
Ga 0.630 0.250 0.291
Ge 0.133 0.250 0.790
Ge 0.867 0.750 0.210



Here is CeGe3Pd3 after structural relaxation from Alexandria via LeMat-Bulk. Energies are from PBE.

Summary:
For the total magnetic moment, the calculation gives 0.210 μB/atom. The calculation puts the total energy at -5.351 eV per atom. The formation energy comes out at -0.2987 eV per atom. As for the energy above the most stable polymorph in this dataset: 177 meV/atom.

a b c (Å): 6.804 6.804 6.804
angles (deg): 90.00 90.00 90.00
Positions (direct):
Ce 0.000 0.000 0.000
Ce 0.500 0.500 0.500
Ge 0.000 0.250 0.500
Ge 0.000 0.750 0.500
Ge 0.250 0.500 0.000
Ge 0.500 0.000 0.250
Ge 0.500 0.000 0.750
Ge 0.750 0.500 0.000
Pd 0.000 0.500 0.250
Pd 0.000 0.500 0.750
Pd 0.250 0.000 0.500
Pd 0.500 0.250 0.000
Pd 0.500 0.750 0.000
Pd 0.750 0.000 0.500



Here is Ga12Au3Se5 after structural relaxation from Alexandria via LeMat-Bulk. Energies are from PBE.

Summary:
For the total magnetic moment, the calculation gives 0.000 μB/atom. The calculation puts the total energy at -3.337 eV per atom.

a b c (Å): 13.524 13.524 13.524
angles (deg): 109.47 109.47 109.47
Positions (direct):
Ga 0.068 0.234 0.148
Ga 0.068 0.334 0.920
Ga 0.080 0.648 0.414
Ga 0.080 0.932 0.666
Ga 0.086 0.734 0.666
Ga 0.086 0.852 0.420
Ga 0.148 0.068 0.234
Ga 0.148 0.580 0.914
Ga 0.166 0.234 0.586
Ga 0.166 0.432 0.580
Ga 0.234 0.148 0.068
Ga 0.234 0.586 0.166
Ga 0.266 0.334 0.914
Ga 0.266 0.432 0.352
Ga 0.334 0.914 0.266
Ga 0.334 0.920 0.068
Ga 0.352 0.266 0.432
Ga 0.352 0.586 0.920
Ga 0.414 0.080 0.648
Ga 0.414 0.834 0.766
Ga 0.420 0.086 0.852
Ga 0.420 0.834 0.568
Ga 0.432 0.352 0.266
Ga 0.432 0.580 0.166
Ga 0.568 0.420 0.834
Ga 0.568 0.648 0.734
Ga 0.580 0.166 0.432
Ga 0.580 0.914 0.148
Ga 0.586 0.166 0.234
Ga 0.586 0.920 0.352
Ga 0.648 0.414 0.080
Ga 0.648 0.734 0.568
Ga 0.666 0.080 0.932
Ga 0.666 0.086 0.734
Ga 0.734 0.568 0.648
Ga 0.734 0.666 0.086
Ga 0.766 0.414 0.834
Ga 0.766 0.852 0.932
Ga 0.834 0.568 0.420
Ga 0.834 0.766 0.414
Ga 0.852 0.420 0.086
Ga 0.852 0.932 0.766
Ga 0.914 0.148 0.580
Ga 0.914 0.266 0.334
Ga 0.920 0.068 0.334
Ga 0.920 0.352 0.586
Ga 0.932 0.666 0.080
Ga 0.932 0.766 0.852
Au 0.125 0.250 0.375
Au 0.125 0.375 0.750
Au 0.250 0.375 0.125
Au 0.250 0.875 0.625
Au 0.375 0.125 0.250
Au 0.375 0.750 0.125
Au 0.625 0.250 0.875
Au 0.625 0.875 0.750
Au 0.750 0.125 0.375
Au 0.750 0.625 0.875
Au 0.875 0.625 0.250
Au 0.875 0.750 0.625
Se 0.000 0.000 0.000
Se 0.000 0.000 0.500
Se 0.000 0.500 0.000
Se 0.000 0.500 0.500
Se 0.125 0.750 0.875
Se 0.125 0.875 0.250
Se 0.250 0.125 0.875
Se 0.250 0.625 0.375
Se 0.375 0.250 0.625
Se 0.375 0.625 0.750
Se 0.500 0.000 0.000
Se 0.500 0.000 0.500
Se 0.500 0.500 0.000
Se 0.500 0.500 0.500
Se 0.625 0.375 0.250
Se 0.625 0.750 0.375
Se 0.750 0.375 0.625
Se 0.750 0.875 0.125
Se 0.875 0.125 0.750
Se 0.875 0.250 0.125



Q: What is the formula in the ninth record?
A: Nd12Sm5Th2



Q: Which value of total magnetic moment does entry 9 give?
A: 0.000 μB/atom



Q: Look up the total magnetic moment of the fourth one.
A: 0.000 μB/atom



Q: Which formula does entry 10 have?
A: Y2GaGe